3
Lattice="-1.473 1.473 6.796 1.473 -1.473 6.796 1.473 1.473 -6.796" Properties=species:S:1:pos:R:3 comment="ScInMo (PBE, optimized geometry)" de_polymorph_ev_per_atom=0.039 e_tot_ev_per_cell=-19.63 pbc="T T T"
Sc 0.000 0.000 0.000
In 0.000 0.000 9.264
Mo 0.000 0.000 4.650